Entry 1:
# YMn2Hg2 (PBE-GGA, relaxed)
# Magnetic moment   7.09 μB/f.u.
# SG   No. 127
# Formation energy from the elements   0.17 eV/atom
# D(E_F)   7.52 states/eV per cell
data_YMn2Hg2
_cell_length_a 8.049
_cell_length_b 8.049
_cell_length_c 3.131
_cell_angle_alpha 90.00
_cell_angle_beta 90.00
_cell_angle_gamma 90.00
_symmetry_space_group_name_H-M 'P 1'
_symmetry_Int_Tables_number 1
loop_
_symmetry_equiv_pos_as_xyz
'x,y,z'
loop_
_atom_site_label
_atom_site_type_symbol
_atom_site_fract_x
_atom_site_fract_y
_atom_site_fract_z
Y1 Y 0.000 0.000 0.000
Y2 Y 0.500 0.500 0.000
Mn1 Mn 0.879 0.621 0.000
Mn2 Mn 0.379 0.879 0.000
Mn3 Mn 0.621 0.121 0.000
Mn4 Mn 0.121 0.379 0.000
Hg1 Hg 0.675 0.825 0.500
Hg2 Hg 0.175 0.675 0.500
Hg3 Hg 0.825 0.325 0.500
Hg4 Hg 0.325 0.175 0.500

---

Entry 2:
# TaBi (PBE-GGA, relaxed)
# Magnetic moment   0.00 μB/f.u.
# SG   No. 87
# Formation energy from the elements   0.34 eV/atom
# D(E_F)   14.73 states/eV per cell
data_TaBi
_cell_length_a 11.092
_cell_length_b 11.092
_cell_length_c 3.493
_cell_angle_alpha 90.00
_cell_angle_beta 90.00
_cell_angle_gamma 90.00
_symmetry_space_group_name_H-M 'P 1'
_symmetry_Int_Tables_number 1
loop_
_symmetry_equiv_pos_as_xyz
'x,y,z'
loop_
_atom_site_label
_atom_site_type_symbol
_atom_site_fract_x
_atom_site_fract_y
_atom_site_fract_z
Bi1 Bi 0.872 0.805 0.000
Bi2 Bi 0.695 0.372 0.500
Bi3 Bi 0.195 0.872 0.000
Bi4 Bi 0.305 0.628 0.500
Bi5 Bi 0.805 0.128 0.000
Bi6 Bi 0.128 0.195 0.000
Bi7 Bi 0.372 0.305 0.500
Bi8 Bi 0.628 0.695 0.500
Ta1 Ta 0.931 0.380 0.000
Ta2 Ta 0.620 0.931 0.000
Ta3 Ta 0.569 0.120 0.500
Ta4 Ta 0.880 0.569 0.500
Ta5 Ta 0.431 0.880 0.500
Ta6 Ta 0.120 0.431 0.500
Ta7 Ta 0.380 0.069 0.000
Ta8 Ta 0.069 0.620 0.000

---

Entry 3:
# LiThPb2 (PBE-GGA, relaxed)
# Magnetic moment   0.00 μB/f.u.
# SG   No. 225
# Formation energy from the elements   -0.15 eV/atom
# D(E_F)   3.55 states/eV per cell
data_LiThPb2
_cell_length_a 5.399
_cell_length_b 5.399
_cell_length_c 5.399
_cell_angle_alpha 60.00
_cell_angle_beta 60.00
_cell_angle_gamma 60.00
_symmetry_space_group_name_H-M 'P 1'
_symmetry_Int_Tables_number 1
loop_
_symmetry_equiv_pos_as_xyz
'x,y,z'
loop_
_atom_site_label
_atom_site_type_symbol
_atom_site_fract_x
_atom_site_fract_y
_atom_site_fract_z
Li1 Li 0.500 0.500 0.500
Pb1 Pb 0.750 0.750 0.750
Pb2 Pb 0.250 0.250 0.250
Th1 Th 0.000 0.000 0.000

---

Entry 4:
# NaLi4Ge (PBE-GGA, relaxed)
# Magnetic moment   0.84 μB/f.u.
# SG   No. 216
# Formation energy from the elements   -0.04 eV/atom
# D(E_F)   1.40 states/eV per cell
data_NaLi4Ge
_cell_length_a 5.343
_cell_length_b 5.343
_cell_length_c 5.343
_cell_angle_alpha 60.00
_cell_angle_beta 60.00
_cell_angle_gamma 60.00
_symmetry_space_group_name_H-M 'P 1'
_symmetry_Int_Tables_number 1
loop_
_symmetry_equiv_pos_as_xyz
'x,y,z'
loop_
_atom_site_label
_atom_site_type_symbol
_atom_site_fract_x
_atom_site_fract_y
_atom_site_fract_z
Li1 Li 0.118 0.627 0.627
Li2 Li 0.627 0.627 0.118
Li3 Li 0.627 0.118 0.627
Li4 Li 0.627 0.627 0.627
Ge1 Ge 0.000 0.000 0.000
Na1 Na 0.250 0.250 0.250

---

Entry 5:
# TiV3Co6 (PBE-GGA, relaxed)
# Magnetic moment   0.00 μB/f.u.
# SG   No. 11
# Formation energy from the elements   -0.18 eV/atom
# D(E_F)   21.49 states/eV per cell
data_TiV3Co6
_cell_length_a 3.630
_cell_length_b 7.834
_cell_length_c 8.200
_cell_angle_alpha 92.21
_cell_angle_beta 90.00
_cell_angle_gamma 90.00
_symmetry_space_group_name_H-M 'P 1'
_symmetry_Int_Tables_number 1
loop_
_symmetry_equiv_pos_as_xyz
'x,y,z'
loop_
_atom_site_label
_atom_site_type_symbol
_atom_site_fract_x
_atom_site_fract_y
_atom_site_fract_z
Ti1 Ti 0.250 0.942 0.621
Ti2 Ti 0.750 0.058 0.379
V1 V 0.750 0.249 0.018
V2 V 0.250 0.345 0.795
V3 V 0.250 0.559 0.408
V4 V 0.750 0.441 0.592
V5 V 0.250 0.751 0.982
V6 V 0.750 0.655 0.205
Co1 Co 0.250 0.852 0.294
Co2 Co 0.750 0.945 0.092
Co3 Co 0.750 0.753 0.508
Co4 Co 0.250 0.158 0.191
Co5 Co 0.250 0.455 0.101
Co6 Co 0.750 0.148 0.706
Co7 Co 0.750 0.359 0.296
Co8 Co 0.250 0.247 0.492
Co9 Co 0.750 0.842 0.809
Co10 Co 0.250 0.641 0.704
Co11 Co 0.250 0.055 0.908
Co12 Co 0.750 0.545 0.899

---

Entry 6:
# Li4PH2 (PBE-GGA, relaxed)
# Magnetic moment   0.00 μB/f.u.
# SG   No. 15
# DFT total energy   -3.1074 eV per atom
# D(E_F)   4.90 states/eV per cell
data_Li4PH2
_cell_length_a 6.033
_cell_length_b 6.040
_cell_length_c 6.180
_cell_angle_alpha 107.57
_cell_angle_beta 107.52
_cell_angle_gamma 112.59
_symmetry_space_group_name_H-M 'P 1'
_symmetry_Int_Tables_number 1
loop_
_symmetry_equiv_pos_as_xyz
'x,y,z'
loop_
_atom_site_label
_atom_site_type_symbol
_atom_site_fract_x
_atom_site_fract_y
_atom_site_fract_z
H1 H 0.625 0.375 0.250
H2 H 0.625 0.875 0.250
H3 H 0.125 0.375 0.750
H4 H 0.625 0.375 0.750
Li1 Li 0.761 0.089 0.684
Li2 Li 0.405 0.077 0.316
Li3 Li 0.488 0.660 0.816
Li4 Li 0.912 0.240 0.316
Li5 Li 0.923 0.595 0.684
Li6 Li 0.339 0.511 0.184
Li7 Li 0.846 0.674 0.184
Li8 Li 0.327 0.155 0.816
P1 P 0.000 0.000 0.000
P2 P 0.250 0.750 0.500

---

> Which value of magnetic moment does entry 6 give?

0.00 μB/f.u.